CeHfP2: relaxed, PBE.

Cell lengths 7.130, 7.130, 7.130 Å; angles 30.72, 30.72, 30.72 degrees
Atoms (fractional coordinates):
1 Ce 0.000 0.000 0.000
2 Hf 0.826 0.826 0.826
3 P 0.237 0.237 0.237
4 P 0.422 0.422 0.422

## Properties
Space-group type   R3m, No. 160
Final energy   -31.9 eV/cell
Total magnetic moment   0.7 Bohr magnetons per cell


Ce4Hf3PaP8: relaxed, PBE.

Cell lengths 7.848, 7.848, 7.848 Å; angles 59.72, 59.72, 59.72 degrees
Atoms (fractional coordinates):
1 Ce 0.000 0.000 0.000
2 Ce 0.000 0.500 0.500
3 Ce 0.500 0.000 0.500
4 Ce 0.500 0.500 0.000
5 Hf 0.000 0.000 0.500
6 Hf 0.000 0.500 0.000
7 Hf 0.500 0.000 0.000
8 Pa 0.500 0.500 0.500
9 P 0.234 0.748 0.748
10 P 0.242 0.242 0.242
11 P 0.252 0.252 0.766
12 P 0.252 0.766 0.252
13 P 0.748 0.234 0.748
14 P 0.748 0.748 0.234
15 P 0.758 0.758 0.758
16 P 0.766 0.252 0.252

## Properties
Space-group type   R-3m, No. 166
Final energy   -129.0 eV/cell
Total magnetic moment   0.1 Bohr magnetons per cell


Ce3HfPa2P6: relaxed, PBE.

Cell lengths 6.870, 6.870, 6.911 Å; angles 99.57, 99.57, 120.00 degrees
Atoms (fractional coordinates):
1 Ce 0.000 0.000 0.000
2 Ce 0.331 0.669 0.000
3 Ce 0.669 0.331 0.000
4 Hf 0.500 0.500 0.500
5 Pa 0.166 0.834 0.500
6 Pa 0.834 0.166 0.500
7 P 0.098 0.422 0.266
8 P 0.256 0.256 0.737
9 P 0.422 0.098 0.266
10 P 0.578 0.902 0.734
11 P 0.744 0.744 0.263
12 P 0.902 0.578 0.734

## Properties
Space-group type   C2/m, No. 12
Final energy   -96.1 eV/cell
Total magnetic moment   0.0 Bohr magnetons per cell


Ce2HfPaP4: relaxed, PBE.

Cell lengths 6.811, 3.953, 6.878 Å; angles 90.00, 109.34, 90.00 degrees
Atoms (fractional coordinates):
1 Ce 0.000 0.000 0.000
2 Ce 0.500 0.500 0.000
3 Hf 0.000 0.500 0.500
4 Pa 0.500 0.000 0.500
5 P 0.235 0.000 0.730
6 P 0.245 0.500 0.265
7 P 0.755 0.500 0.735
8 P 0.765 0.000 0.270

## Properties
Space-group type   P2/m, No. 10
Final energy   -64.2 eV/cell
Total magnetic moment   0.2 Bohr magnetons per cell


CeHf2Pa3P6: relaxed, PBE.

Cell lengths 6.768, 6.768, 6.710 Å; angles 99.74, 99.74, 120.09 degrees
Atoms (fractional coordinates):
1 Ce 0.000 0.000 0.000
2 Hf 0.333 0.667 0.000
3 Hf 0.667 0.333 0.000
4 Pa 0.162 0.838 0.500
5 Pa 0.500 0.500 0.500
6 Pa 0.838 0.162 0.500
7 P 0.080 0.428 0.241
8 P 0.269 0.269 0.765
9 P 0.428 0.080 0.241
10 P 0.572 0.920 0.759
11 P 0.731 0.731 0.235
12 P 0.920 0.572 0.759

## Properties
Space-group type   C2/m, No. 12
Final energy   -102.7 eV/cell
Total magnetic moment   0.0 Bohr magnetons per cell


CeHf2P4Pd: relaxed, PBE.

Cell lengths 6.553, 6.553, 13.018 Å; angles 90.00, 90.00, 146.36 degrees
Atoms (fractional coordinates):
1 Ce 0.122 0.878 0.750
2 Ce 0.878 0.122 0.250
3 Hf 0.370 0.630 0.564
4 Hf 0.370 0.630 0.936
5 Hf 0.630 0.370 0.064
6 Hf 0.630 0.370 0.436
7 P 0.000 0.000 0.000
8 P 0.000 0.000 0.500
9 P 0.274 0.726 0.114
10 P 0.274 0.726 0.386
11 P 0.462 0.538 0.750
12 P 0.538 0.462 0.250
13 P 0.726 0.274 0.614
14 P 0.726 0.274 0.886
15 Pd 0.148 0.852 0.250
16 Pd 0.852 0.148 0.750

## Properties
Space-group type   Cmcm, No. 63
Final energy   -123.2 eV/cell
Total magnetic moment   0.0 Bohr magnetons per cell


CePr2HfP4: relaxed, PBE.

Cell lengths 6.969, 4.025, 7.014 Å; angles 90.00, 109.17, 90.00 degrees
Atoms (fractional coordinates):
1 Ce 0.000 0.000 0.000
2 Pr 0.000 0.500 0.500
3 Pr 0.500 0.000 0.500
4 Hf 0.500 0.500 0.000
5 P 0.256 0.500 0.231
6 P 0.270 0.000 0.776
7 P 0.730 0.000 0.224
8 P 0.744 0.500 0.769

## Properties
Space-group type   P2/m, No. 10
Final energy   -58.6 eV/cell
Total magnetic moment   0.2 Bohr magnetons per cell


Ce2PrHfP4: relaxed, PBE.

Cell lengths 6.933, 4.004, 6.964 Å; angles 90.00, 109.28, 90.00 degrees
Atoms (fractional coordinates):
1 Ce 0.000 0.000 0.000
2 Ce 0.000 0.500 0.500
3 Pr 0.500 0.000 0.500
4 Hf 0.500 0.500 0.000
5 P 0.254 0.500 0.233
6 P 0.265 0.000 0.771
7 P 0.735 0.000 0.229
8 P 0.746 0.500 0.767

## Properties
Space-group type   P2/m, No. 10
Final energy   -59.6 eV/cell
Total magnetic moment   0.7 Bohr magnetons per cell


Ce3PuHf2P6: relaxed, PBE.

Cell lengths 6.796, 6.796, 6.820 Å; angles 99.57, 99.57, 120.03 degrees
Atoms (fractional coordinates):
1 Ce 0.000 0.000 0.000
2 Ce 0.336 0.664 0.000
3 Ce 0.664 0.336 0.000
4 Pu 0.500 0.500 0.500
5 Hf 0.167 0.833 0.500
6 Hf 0.833 0.167 0.500
7 P 0.080 0.423 0.268
8 P 0.233 0.233 0.728
9 P 0.423 0.080 0.268
10 P 0.577 0.920 0.732
11 P 0.767 0.767 0.272
12 P 0.920 0.577 0.732

## Properties
Space-group type   C2/m, No. 12
Final energy   -101.2 eV/cell
Total magnetic moment   6.0 Bohr magnetons per cell


Ce2Pu3HfP6: relaxed, PBE.

Cell lengths 8.872, 8.872, 7.940 Å; angles 102.53, 102.53, 25.89 degrees
Atoms (fractional coordinates):
1 Ce 0.164 0.164 0.330
2 Ce 0.836 0.836 0.670
3 Pu 0.168 0.168 0.836
4 Pu 0.500 0.500 0.500
5 Pu 0.832 0.832 0.164
6 Hf 0.500 0.500 0.000
7 P 0.003 0.003 0.765
8 P 0.333 0.333 0.412
9 P 0.339 0.339 0.926
10 P 0.661 0.661 0.074
11 P 0.667 0.667 0.588
12 P 0.997 0.997 0.235

## Properties
Space-group type   C2/m, No. 12
Final energy   -112.7 eV/cell
Total magnetic moment   5.6 Bohr magnetons per cell


CePu3Hf2P6: relaxed, PBE.

Cell lengths 6.782, 6.782, 6.739 Å; angles 99.67, 99.67, 120.04 degrees
Atoms (fractional coordinates):
1 Ce 0.000 0.000 0.000
2 Pu 0.163 0.837 0.500
3 Pu 0.500 0.500 0.500
4 Pu 0.837 0.163 0.500
5 Hf 0.332 0.668 0.000
6 Hf 0.668 0.332 0.000
7 P 0.081 0.428 0.241
8 P 0.269 0.269 0.763
9 P 0.428 0.081 0.241
10 P 0.572 0.919 0.759
11 P 0.731 0.731 0.237
12 P 0.919 0.572 0.759

## Properties
Space-group type   C2/m, No. 12
Final energy   -116.7 eV/cell
Total magnetic moment   15.9 Bohr magnetons per cell


CePu2HfP4: relaxed, PBE.

Cell lengths 6.786, 3.940, 6.841 Å; angles 90.00, 109.51, 90.00 degrees
Atoms (fractional coordinates):
1 Ce 0.000 0.000 0.000
2 Pu 0.500 0.000 0.500
3 Pu 0.500 0.500 0.000
4 Hf 0.000 0.500 0.500
5 P 0.239 0.000 0.735
6 P 0.246 0.500 0.264
7 P 0.754 0.500 0.736
8 P 0.761 0.000 0.265

## Properties
Space-group type   P2/m, No. 10
Final energy   -76.4 eV/cell
Total magnetic moment   0.1 Bohr magnetons per cell